# SiWI2O GGA+U relaxed
data_SiWI2O
_cell_length_a 5.9390
_cell_length_b 5.9390
_cell_length_c 3.8764
_cell_angle_alpha 90.00
_cell_angle_beta 90.00
_cell_angle_gamma 90.00
_symmetry_space_group_name_H-M 'P 4/m m m'
_symmetry_Int_Tables_number 123
_symmetry_space_group_name_Hall '-P 4 2'
loop_
_atom_site_label
_atom_site_fract_x
_atom_site_fract_y
_atom_site_fract_z
Si1 0.0000 0.0000 0.0000
W1 0.5000 0.5000 0.5000
I1 0.0000 0.5000 0.5000
O1 0.5000 0.5000 0.0000
# Calculated density ... 5.85 Mg/m³
# Electronic total energy ... -4.02 eV/atom
# Magnetic moment ... 3.65 Bohr magnetons per cell